HfUMnO6, optimized geometry, DFT GGA+U; electronic total energy = -9.350 eV/atom
1.0
5.5736 0.0000 0.0000
-2.7868 4.8269 0.0000
0.0000 0.0000 9.1448
Hf U Mn O
2 2 2 12
Cartesian
0.0000 3.2179 2.2862
2.7868 1.6090 6.8586
0.0000 3.2179 6.8586
2.7868 1.6090 2.2862
0.0000 0.0000 0.0000
0.0000 0.0000 4.5724
-0.9748 1.6941 1.2334
-1.8070 3.1356 3.3390
0.9748 1.6941 3.3390
-0.8322 4.8240 1.2334
1.9546 0.0029 5.8058
0.9798 1.6913 7.9114
1.8070 3.1356 1.2334
0.8322 4.8240 3.3390
3.6190 0.0029 7.9114
1.8120 3.1327 5.8058
4.5938 1.6913 5.8058
3.7616 3.1327 7.9114

***

HfUMn2O8, optimized geometry, DFT GGA+U; electronic total energy = -8.831 eV/atom
1.0
3.3663 -3.5872 0.0000
3.3663 3.5872 0.0000
0.0000 0.0000 6.3533
Hf U Mn O
1 1 2 8
Cartesian
0.0000 0.0000 0.0000
0.0000 0.0000 3.1766
3.3663 0.0000 1.5463
3.3663 0.0000 4.8070
3.3663 2.2671 1.5954
3.3663 2.2671 4.7579
2.1110 0.0000 0.0000
2.1379 0.0000 3.1766
4.5947 0.0000 3.1766
4.6216 0.0000 0.0000
3.3663 -2.2671 1.5954
3.3663 -2.2671 4.7579

***

HfMnVO6, optimized geometry, DFT GGA+U; electronic total energy = -8.229 eV/atom
1.0
5.1347 0.0000 0.0000
-2.5674 4.4468 0.0000
0.0000 0.0000 4.4320
Hf Mn V O
1 1 1 6
Cartesian
0.0000 0.0000 0.0000
2.5674 1.4823 2.2160
0.0000 2.9645 0.0000
-0.8063 1.5859 1.0517
-1.5971 2.9556 3.3802
0.8063 1.5859 3.3802
-0.7908 4.3521 1.0517
1.5971 2.9556 1.0517
0.7908 4.3521 3.3802

***

HfMn2WO8, optimized geometry, DFT GGA+U; electronic total energy = -8.161 eV/atom
1.0
3.2972 -3.5788 0.0000
3.2972 3.5788 0.0000
0.0000 0.0000 6.1022
Hf Mn W O
1 2 1 8
Cartesian
0.0000 0.0000 0.0000
3.2972 0.0000 1.5157
3.2972 0.0000 4.5865
0.0000 0.0000 3.0511
3.2972 2.2730 1.6238
3.2972 2.2730 4.4784
2.0007 0.0000 3.0511
2.0651 0.0000 0.0000
4.5293 0.0000 0.0000
4.5937 0.0000 3.0511
3.2972 -2.2730 1.6238
3.2972 -2.2730 4.4784